This record from Alexandria via LeMat-Bulk describes a geometry-optimized ZrH2O structure. The functional is GGA-PBE.

Structure (CIF):
```
data_ZrH2O
_chemical_formula_sum 'Zr4 H8 O4'
_symmetry_space_group_name_H-M 'F m -3 m'
_symmetry_Int_Tables_number 225
_symmetry_space_group_name_Hall '-F 4 2 3'
_cell_length_a 4.971
_cell_length_b 4.971
_cell_length_c 4.971
_cell_angle_alpha 90.00
_cell_angle_beta 90.00
_cell_angle_gamma 90.00
loop_
_atom_site_label
_atom_site_fract_x
_atom_site_fract_y
_atom_site_fract_z
Zr1 0.000 0.000 0.000
H1 0.250 0.250 0.250
O1 0.000 0.000 0.500
```

Output
Total energy = -0.216 Ha/atom
Crystal system = cubic

This record from Alexandria via LeMat-Bulk describes a geometry-optimized ZrHO3 structure. The functional is GGA-PBE.

Structure (CIF):
```
data_ZrHO3
_chemical_formula_sum 'Zr1 H1 O3'
_symmetry_space_group_name_H-M 'P m -3 m'
_symmetry_Int_Tables_number 221
_symmetry_space_group_name_Hall '-P 4 2 3'
_cell_length_a 4.151
_cell_length_b 4.151
_cell_length_c 4.151
_cell_angle_alpha 90.00
_cell_angle_beta 90.00
_cell_angle_gamma 90.00
loop_
_atom_site_label
_atom_site_fract_x
_atom_site_fract_y
_atom_site_fract_z
Zr1 0.000 0.000 0.000
H1 0.500 0.500 0.500
O1 0.000 0.000 0.500
```

Output
Total energy = -0.234 Ha/atom
Crystal system = cubic

This record from Alexandria via LeMat-Bulk describes a geometry-optimized ZrH3O structure. The functional is GGA-PBE.

Structure (CIF):
```
data_ZrH3O
_chemical_formula_sum 'Zr1 H3 O1'
_symmetry_space_group_name_H-M 'P m -3 m'
_symmetry_Int_Tables_number 221
_symmetry_space_group_name_Hall '-P 4 2 3'
_cell_length_a 3.745
_cell_length_b 3.745
_cell_length_c 3.745
_cell_angle_alpha 90.00
_cell_angle_beta 90.00
_cell_angle_gamma 90.00
loop_
_atom_site_label
_atom_site_fract_x
_atom_site_fract_y
_atom_site_fract_z
Zr1 0.000 0.000 0.000
H1 0.000 0.000 0.500
O1 0.500 0.500 0.500
```

Output
Total energy = -0.163 Ha/atom
Crystal system = cubic